Here is a geometry-optimized Ta2MnMo structure from Alexandria via LeMat-Bulk. Energies are from PBE.

D(E_F) in states/eV/atom: 1.00
M_tot in μB per formula unit: 0.502
Raw total energy in eV/atom: -10.683
Space group: No. 166

a b c (Å): 8.3401 8.3401 8.3401
angles (deg): 20.98 20.98 20.98
Fractional coordinates of all 4 atoms:
Ta  0.2455  0.2455  0.2455
Ta  0.7545  0.7545  0.7545
Mn  0.5000  0.5000  0.5000
Mo  0.0000  0.0000  0.0000